Entry 1:
The following is a PBE-GGA calculation of TmCO4 after structural relaxation, from Alexandria.

Unit cell a=9.418 b=9.418 c=7.873 alpha=90.00 beta=90.00 gamma=90.00
Atoms (fractional coordinates):
Tm (0.019, 0.519, 0.250)
Tm (0.019, 0.981, 0.250)
Tm (0.481, 0.519, 0.250)
Tm (0.481, 0.981, 0.250)
Tm (0.519, 0.019, 0.750)
Tm (0.519, 0.481, 0.750)
Tm (0.981, 0.019, 0.750)
Tm (0.981, 0.481, 0.750)
C (0.005, 0.750, 0.590)
C (0.250, 0.505, 0.910)
C (0.250, 0.995, 0.910)
C (0.495, 0.750, 0.590)
C (0.505, 0.250, 0.410)
C (0.750, 0.005, 0.090)
C (0.750, 0.495, 0.090)
C (0.995, 0.250, 0.410)
O (0.000, 0.250, 0.793)
O (0.000, 0.750, 0.207)
O (0.003, 0.250, 0.247)
O (0.008, 0.630, 0.511)
O (0.008, 0.870, 0.511)
O (0.130, 0.508, 0.989)
O (0.130, 0.992, 0.989)
O (0.250, 0.000, 0.293)
O (0.250, 0.003, 0.747)
O (0.250, 0.497, 0.747)
O (0.250, 0.500, 0.293)
O (0.370, 0.508, 0.989)
O (0.370, 0.992, 0.989)
O (0.492, 0.630, 0.511)
O (0.492, 0.870, 0.511)
O (0.497, 0.250, 0.247)
O (0.500, 0.250, 0.793)
O (0.500, 0.750, 0.207)
O (0.503, 0.750, 0.753)
O (0.508, 0.130, 0.489)
O (0.508, 0.370, 0.489)
O (0.630, 0.008, 0.011)
O (0.630, 0.492, 0.011)
O (0.750, 0.000, 0.707)
O (0.750, 0.500, 0.707)
O (0.750, 0.503, 0.253)
O (0.750, 0.997, 0.253)
O (0.870, 0.008, 0.011)
O (0.870, 0.492, 0.011)
O (0.992, 0.130, 0.489)
O (0.992, 0.370, 0.489)
O (0.997, 0.750, 0.753)

Calculated values
- energy above the lowest structure with this stoichiometry (kJ/mol of atoms) = 0.0
- raw formation energy (eV/atom) = -2.08



Entry 2:
The following is a PBE-GGA calculation of Pr4DyTm5 after structural relaxation, from Alexandria.

Unit cell a=3.516 b=8.711 c=11.351 alpha=89.88 beta=90.00 gamma=78.43
Atoms (fractional coordinates):
Pr (0.033, 0.432, 0.249)
Pr (0.341, 0.821, 0.250)
Pr (0.659, 0.179, 0.750)
Pr (0.967, 0.568, 0.751)
Dy (0.500, 0.500, 0.500)
Tm (0.172, 0.155, 0.045)
Tm (0.173, 0.154, 0.453)
Tm (0.500, 0.500, 0.000)
Tm (0.827, 0.846, 0.547)
Tm (0.828, 0.845, 0.955)

Calculated values
- ΔH_f (0 K) (meV per atom) = 197



Entry 3:
The following is a PBE-GGA calculation of LiTcAg2 after structural relaxation, from Alexandria.

Unit cell a=4.900 b=4.900 c=4.900 alpha=130.77 beta=130.77 gamma=72.18
Atoms (fractional coordinates):
Li (0.000, 0.000, 0.000)
Tc (0.250, 0.750, 0.500)
Ag (0.500, 0.500, 0.000)
Ag (0.750, 0.250, 0.500)

Calculated values
- energy above the lowest structure with this stoichiometry (kJ/mol of atoms) = 26.0
- ΔH_f (0 K) (meV per atom) = 507



Entry 4:
The following is a PBE-GGA calculation of AcErRu2 after structural relaxation, from Alexandria.

Unit cell a=4.977 b=4.977 c=4.977 alpha=60.00 beta=60.00 gamma=60.00
Atoms (fractional coordinates):
Ac (0.000, 0.000, 0.000)
Er (0.500, 0.500, 0.500)
Ru (0.250, 0.250, 0.250)
Ru (0.750, 0.750, 0.750)

Calculated values
- energy above the lowest structure with this stoichiometry (kJ/mol of atoms) = 0.0
- ΔH_f (0 K) (meV per atom) = -101



Entry 5:
The following is a PBE-GGA calculation of Cd2CuSbS4 after structural relaxation, from Alexandria.

Unit cell a=7.145 b=7.082 c=5.898 alpha=66.06 beta=64.96 gamma=48.98
Atoms (fractional coordinates):
Cd (0.000, 0.000, 0.500)
Cd (0.500, 0.500, 0.000)
Cu (0.251, 0.251, 0.749)
Sb (0.747, 0.747, 0.253)
S (0.143, 0.598, 0.857)
S (0.354, 0.910, 0.090)
S (0.598, 0.143, 0.402)
S (0.910, 0.354, 0.646)

Calculated values
- raw formation energy (eV/atom) = -0.35



Entry 6:
The following is a PBE-GGA calculation of Be2RuCl after structural relaxation, from Alexandria.

Unit cell a=4.016 b=4.016 c=2.972 alpha=90.00 beta=90.00 gamma=90.00
Atoms (fractional coordinates):
Be (0.000, 0.500, 0.000)
Be (0.500, 0.000, 0.000)
Ru (0.000, 0.000, 0.500)
Cl (0.500, 0.500, 0.500)

Calculated values
- energy above the lowest structure with this stoichiometry (kJ/mol of atoms) = 42.3
- raw formation energy (eV/atom) = 0.39



Number 1: mass density 4.66 g cm⁻³. Number 2: mass density 7.66 g cm⁻³. Number 3: mass density 8.07 g cm⁻³. Number 4: mass density 11.36 g cm⁻³. Number 5: mass density 4.46 g cm⁻³. Number 6: mass density 5.35 g cm⁻³.